Density functional theory data (meta-GGA SCAN) for a crystal of ZnMo2Se relaxed with PBEsol.

a = 5.0825 Å, b = 5.0825 Å, c = 5.0825 Å
α = 143.08°, β = 129.36°, γ = 64.30°
With the nearest neighbours (Å) after each atom.
Positions (direct):
Zn  0.0000  0.0000  0.0000  8 Mo 2.71-3.01, 4 Se 2.76-2.99
Mo  0.2580  0.7580  0.5000  2 Mo 2.69, 4 Se 2.71, 2 Zn 2.74
Mo  0.5080  0.5080  0.0000  2 Se 2.56, 2 Mo 2.69, 4 Zn 2.71
Se  0.7394  0.2394  0.5000  6 Mo 2.56-2.71, 2 Zn 2.76

For the size of the total moment, the calculation gives 0.000 μB per formula unit. As for the space-group type: No. 44. The calculation puts the relative energy among the computed polymorphs at 74 meV/atom. The value obtained for the energy relative to the elements, uncorrected is 0.34 eV per atom.